#P
The following is a GGA-PBE calculation of an optimized crystal structure of SrRu3Pt, from Alexandria via LeMat-Bulk.

a = 4.7757 Å, b = 4.7757 Å, c = 4.7757 Å
α = 90.00°, β = 90.00°, γ = 90.00°
Closest atoms and distances in Å follow each position.
Space group Pm-3m (No. 221)
Symmetry-distinct sites (fractional):
1 Sr 0.0000 0.0000 0.0000 x1  6 Ru 2.39
2 Ru 0.0000 0.0000 0.5000 x3  2 Sr 2.39
3 Pt 0.5000 0.5000 0.5000 x1  12 Ru 3.38

Magnetic moment ... 5.293 μB/f.u.

#Q
The following is a GGA-PBE calculation of an optimized crystal structure of SrRu3Pt, from Alexandria via LeMat-Bulk.

a = 4.8806 Å, b = 4.8806 Å, c = 4.8806 Å
α = 90.00°, β = 90.00°, γ = 90.00°
Closest atoms and distances in Å follow each position.
Space group Pm-3m (No. 221)
Symmetry-distinct sites (fractional):
1 Sr 0.0000 0.0000 0.0000 x1  12 Ru 3.45
2 Ru 0.0000 0.5000 0.5000 x3  2 Pt 2.44
3 Pt 0.5000 0.5000 0.5000 x1  6 Ru 2.44

Magnetic moment ... 4.566 μB/f.u.

Quick one: least stable of them? #P

#P
The following is a GGA-PBE calculation of an optimized crystal structure of TaRu2Pt, from Alexandria via LeMat-Bulk.

a = 2.8111 Å, b = 3.8659 Å, c = 5.6363 Å
α = 90.00°, β = 90.00°, γ = 90.00°
Closest atoms and distances in Å follow each position.
Space group Pmm2 (No. 25)
Symmetry-distinct sites (fractional):
1 Ta 0.0000 0.0000 0.0000 x1  5 Ru 2.64-2.82, 4 Pt 2.80, 2 Ta 2.81
2 Ru 0.0000 0.0000 0.5314 x1  1 Ta 2.64, 6 Ru 2.65-2.81, 4 Pt 2.84
3 Ru 0.5000 0.5000 0.7356 x1  6 Ru 2.65-2.81, 2 Pt 2.69-2.94, 4 Ta 2.82
4 Pt 0.5000 0.5000 0.2578 x1  6 Ru 2.69-2.94, 4 Ta 2.80, 2 Pt 2.81

Magnetic moment ... 0.000 μB/f.u.

#Q
The following is a GGA-PBE calculation of an optimized crystal structure of TaRu2Pt, from Alexandria via LeMat-Bulk.

a = 5.6197 Å, b = 7.4822 Å, c = 2.9082 Å
α = 90.00°, β = 90.00°, γ = 90.00°
Closest atoms and distances in Å follow each position.
Space group Cmmm (No. 65)
Symmetry-distinct sites (fractional):
1 Ta 0.0000 0.0000 0.0000 x2  8 Ru 2.75, 2 Pt 2.81, 2 Ta 2.91
2 Ru 0.2500 0.2500 0.5000 x4  4 Ta 2.75, 4 Pt 2.75, 4 Ru 2.81-2.91
3 Pt 0.0000 0.5000 0.0000 x2  8 Ru 2.75, 2 Ta 2.81, 2 Pt 2.91

Magnetic moment ... 0.000 μB/f.u.

Quick one: least stable of them? #Q